Entry from the Alexandria database: a relaxed TmPuIn2O8 crystal (PBE).

Calculated values
Formation energy from raw total energies (eV per atom): -2.223

a b c (Å): 5.030 5.030 6.699
angles (deg): 90.00 90.00 91.33
Positions (direct):
Tm 0.000 0.000 0.000
Pu 0.000 0.000 0.500
In 0.500 0.500 0.244
In 0.500 0.500 0.756
O 0.183 0.817 0.277
O 0.183 0.817 0.723
O 0.298 0.298 0.500
O 0.306 0.306 0.000
O 0.694 0.694 0.000
O 0.702 0.702 0.500
O 0.817 0.183 0.277
O 0.817 0.183 0.723